Entry 1:
ScRe2Tc: optimized geometry, PBE.

Cell lengths 5.301, 5.301, 5.301 Å; angles 145.79, 130.71, 61.37 degrees
Element x y z (fractional)
1 Re 0.993 0.993 0.000
2 Re 0.507 0.507 0.000
3 Sc 0.250 0.750 0.500
4 Tc 0.750 0.250 0.500

Calculated values
DOS(E_F): 2.4 states/eV per cell
Spin magnetization: 0.00 μB per cell
Symmetry: No. 71
ΔE_f: -0.1052 eV per atom

=====

Entry 2:
ScReTc2: optimized geometry, PBE.

Cell lengths 9.111, 9.111, 9.111 Å; angles 18.11, 18.11, 18.11 degrees
Element x y z (fractional)
1 Re 0.250 0.250 0.250
2 Sc 0.750 0.750 0.750
3 Tc 0.504 0.504 0.504
4 Tc 0.996 0.996 0.996

Calculated values
DOS(E_F): 3.0 states/eV per cell
Spin magnetization: 0.00 μB per cell
Symmetry: No. 166
ΔE_f: 0.1361 eV per atom

=====

> The highest ΔE_f belongs to which entry?

ScReTc2

=====

> The lowest ΔE_f belongs to which entry?

ScRe2Tc

=====

> Look up the DOS(E_F) of the first one.

2.4 states/eV per cell